1.
Ta3MnZn | PBE | relaxed

Values from the calculation:
relative energy among the computed polymorphs: 4.73 eV/f.u.
M_tot: 0.18 Bohr magnetons per cell
V: 99 Å³/cell
E_form: 1763.9 meV per atom

The structure in CIF format:
```
data_Ta3MnZn
_chemical_formula_sum 'Ta3 Mn1 Zn1'
_symmetry_space_group_name_H-M 'P 1'
_symmetry_Int_Tables_number 1
_cell_length_a 4.630
_cell_length_b 4.630
_cell_length_c 4.630
_cell_angle_alpha 90.00
_cell_angle_beta 90.00
_cell_angle_gamma 90.00
loop_
_symmetry_equiv_pos_as_xyz
'x,y,z'
loop_
_atom_site_label
_atom_site_type_symbol
_atom_site_fract_x
_atom_site_fract_y
_atom_site_fract_z
Ta1 Ta 0.000 0.500 0.000
Ta2 Ta 0.500 0.000 0.000
Ta3 Ta 0.000 0.000 0.500
Zn1 Zn 0.000 0.000 0.000
Mn1 Mn 0.500 0.500 0.500
```

***

2.
MnBe2Ru | PBE | relaxed

Values from the calculation:
M_tot: 0.36 Bohr magnetons per cell
V: 41 Å³/cell
E_form: -144.1 meV per atom

The structure in CIF format:
```
data_MnBe2Ru
_chemical_formula_sum 'Mn1 Be2 Ru1'
_symmetry_space_group_name_H-M 'P 1'
_symmetry_Int_Tables_number 1
_cell_length_a 2.720
_cell_length_b 2.720
_cell_length_c 5.537
_cell_angle_alpha 90.00
_cell_angle_beta 90.00
_cell_angle_gamma 90.00
loop_
_symmetry_equiv_pos_as_xyz
'x,y,z'
loop_
_atom_site_label
_atom_site_type_symbol
_atom_site_fract_x
_atom_site_fract_y
_atom_site_fract_z
Ru1 Ru 0.500 0.500 0.758
Mn1 Mn 0.000 0.000 0.482
Be1 Be 0.500 0.500 0.231
Be2 Be 0.000 0.000 0.030
```

***

3.
KTcPd | PBE | relaxed

Values from the calculation:
relative energy among the computed polymorphs: 0.90 eV/f.u.
M_tot: 3.26 Bohr magnetons per cell
V: 284 Å³/cell
E_form: 544.1 meV per atom

The structure in CIF format:
```
data_KTcPd
_chemical_formula_sum 'K4 Tc4 Pd4'
_symmetry_space_group_name_H-M 'P 1'
_symmetry_Int_Tables_number 1
_cell_length_a 12.532
_cell_length_b 4.958
_cell_length_c 4.577
_cell_angle_alpha 90.00
_cell_angle_beta 90.00
_cell_angle_gamma 90.00
loop_
_symmetry_equiv_pos_as_xyz
'x,y,z'
loop_
_atom_site_label
_atom_site_type_symbol
_atom_site_fract_x
_atom_site_fract_y
_atom_site_fract_z
K1 K 0.280 0.750 0.998
Tc1 Tc 0.000 0.500 0.000
Pd1 Pd 0.451 0.250 0.000
K2 K 0.720 0.250 0.002
Pd2 Pd 0.951 0.250 0.500
Tc2 Tc 0.000 0.000 0.000
Pd3 Pd 0.549 0.750 0.000
Tc3 Tc 0.500 0.500 0.500
K3 K 0.220 0.250 0.498
K4 K 0.780 0.750 0.502
Pd4 Pd 0.049 0.750 0.500
Tc4 Tc 0.500 0.000 0.500
```

***

4.
Ca2Pd2Rh | PBE | relaxed

Values from the calculation:
M_tot: 0.00 Bohr magnetons per cell
V: 208 Å³/cell
E_form: -445.7 meV per atom

The structure in CIF format:
```
data_Ca2Pd2Rh
_chemical_formula_sum 'Ca4 Pd4 Rh2'
_symmetry_space_group_name_H-M 'P 1'
_symmetry_Int_Tables_number 1
_cell_length_a 6.969
_cell_length_b 6.969
_cell_length_c 4.288
_cell_angle_alpha 90.00
_cell_angle_beta 90.00
_cell_angle_gamma 90.00
loop_
_symmetry_equiv_pos_as_xyz
'x,y,z'
loop_
_atom_site_label
_atom_site_type_symbol
_atom_site_fract_x
_atom_site_fract_y
_atom_site_fract_z
Pd1 Pd 0.133 0.367 0.000
Pd2 Pd 0.867 0.633 0.000
Pd3 Pd 0.633 0.133 0.000
Ca1 Ca 0.821 0.321 0.500
Ca2 Ca 0.679 0.821 0.500
Ca3 Ca 0.321 0.179 0.500
Ca4 Ca 0.179 0.679 0.500
Rh1 Rh 0.000 0.000 0.000
Pd4 Pd 0.367 0.867 0.000
Rh2 Rh 0.500 0.500 0.000
```

***

5.
LiDy4Cu3 | PBE | relaxed

Values from the calculation:
M_tot: 0.00 Bohr magnetons per cell
V: 173 Å³/cell
E_form: -159.5 meV per atom

The structure in CIF format:
```
data_LiDy4Cu3
_chemical_formula_sum 'Li1 Dy4 Cu3'
_symmetry_space_group_name_H-M 'P 1'
_symmetry_Int_Tables_number 1
_cell_length_a 4.957
_cell_length_b 4.957
_cell_length_c 8.602
_cell_angle_alpha 73.26
_cell_angle_beta 73.26
_cell_angle_gamma 60.00
loop_
_symmetry_equiv_pos_as_xyz
'x,y,z'
loop_
_atom_site_label
_atom_site_type_symbol
_atom_site_fract_x
_atom_site_fract_y
_atom_site_fract_z
Cu1 Cu 0.256 0.256 0.232
Dy1 Dy 0.129 0.129 0.613
Dy2 Dy 0.621 0.621 0.138
Li1 Li 0.000 0.000 0.000
Dy3 Dy 0.871 0.871 0.387
Cu2 Cu 0.744 0.744 0.768
Cu3 Cu 0.500 0.500 0.500
Dy4 Dy 0.379 0.379 0.862
```

***

6.
Zr10CrSb5 | PBE | relaxed

Values from the calculation:
M_tot: 1.04 Bohr magnetons per cell
formation energy without anion corrections: -0.589 eV/atom
V: 350 Å³/cell

The structure in CIF format:
```
data_Zr10CrSb5
_chemical_formula_sum 'Zr10 Cr1 Sb5'
_symmetry_space_group_name_H-M 'P 1'
_symmetry_Int_Tables_number 1
_cell_length_a 8.397
_cell_length_b 8.397
_cell_length_c 8.397
_cell_angle_alpha 96.33
_cell_angle_beta 96.33
_cell_angle_gamma 141.22
loop_
_symmetry_equiv_pos_as_xyz
'x,y,z'
loop_
_atom_site_label
_atom_site_type_symbol
_atom_site_fract_x
_atom_site_fract_y
_atom_site_fract_z
Zr1 Zr 0.547 0.837 0.862
Zr2 Zr 0.837 0.975 0.290
Zr3 Zr 0.000 0.500 0.500
Zr4 Zr 0.500 0.000 0.500
Zr5 Zr 0.316 0.025 0.862
Zr6 Zr 0.975 0.684 0.138
Cr1 Cr 0.000 0.000 0.000
Zr7 Zr 0.684 0.547 0.710
Sb1 Sb 0.413 0.587 0.500
Sb2 Sb 0.500 0.500 0.000
Zr8 Zr 0.453 0.316 0.290
Sb3 Sb 0.087 0.913 0.500
Zr9 Zr 0.163 0.453 0.138
Zr10 Zr 0.025 0.163 0.710
Sb4 Sb 0.587 0.087 0.173
Sb5 Sb 0.913 0.413 0.827
```

***

7.
Tb5Rh4 | PBE | relaxed

Values from the calculation:
M_tot: 0.00 Bohr magnetons per cell
V: 204 Å³/cell
E_form: -750.9 meV per atom

The structure in CIF format:
```
data_Tb5Rh4
_chemical_formula_sum 'Tb5 Rh4'
_symmetry_space_group_name_H-M 'P 1'
_symmetry_Int_Tables_number 1
_cell_length_a 4.062
_cell_length_b 5.783
_cell_length_c 9.671
_cell_angle_alpha 76.10
_cell_angle_beta 77.88
_cell_angle_gamma 69.44
loop_
_symmetry_equiv_pos_as_xyz
'x,y,z'
loop_
_atom_site_label
_atom_site_type_symbol
_atom_site_fract_x
_atom_site_fract_y
_atom_site_fract_z
Tb1 Tb 0.000 0.000 0.000
Tb2 Tb 0.237 0.344 0.183
Tb3 Tb 0.763 0.656 0.817
Rh1 Rh 0.376 0.637 0.612
Rh2 Rh 0.458 0.243 0.841
Tb4 Tb 0.108 0.180 0.604
Rh3 Rh 0.542 0.757 0.159
Tb5 Tb 0.892 0.820 0.396
Rh4 Rh 0.624 0.363 0.388
```

***

8.
CaPr2Cd6 | PBE | relaxed

Values from the calculation:
M_tot: 0.00 Bohr magnetons per cell
V: 237 Å³/cell
E_form: -342.6 meV per atom

The structure in CIF format:
```
data_CaPr2Cd6
_chemical_formula_sum 'Ca1 Pr2 Cd6'
_symmetry_space_group_name_H-M 'P 1'
_symmetry_Int_Tables_number 1
_cell_length_a 3.533
_cell_length_b 8.800
_cell_length_c 8.800
_cell_angle_alpha 120.00
_cell_angle_beta 90.00
_cell_angle_gamma 90.00
loop_
_symmetry_equiv_pos_as_xyz
'x,y,z'
loop_
_atom_site_label
_atom_site_type_symbol
_atom_site_fract_x
_atom_site_fract_y
_atom_site_fract_z
Ca1 Ca 0.000 0.000 0.000
Pr1 Pr 0.000 0.333 0.667
Cd1 Cd 0.500 0.669 0.669
Cd2 Cd 0.500 0.000 0.669
Cd3 Cd 0.500 0.331 0.000
Cd4 Cd 0.500 0.331 0.331
Cd5 Cd 0.500 0.669 0.000
Pr2 Pr 0.000 0.667 0.333
Cd6 Cd 0.500 0.000 0.331
```

***

no.,Fermi-level density of states (states/eV/cell)
1,9.7
2,2.3
3,12.5
4,8.1
5,5.4
6,13.7
7,3.9
8,7.1